This record from Alexandria via LeMat-Bulk describes a geometry-optimized ThPaGe4 structure. The functional is PBE.

The space group is F-43m (No. 216) and the conventional cell measures 7.931, 7.931 and 7.931 Å, with angles of 90.00, 90.00 and 90.00 degrees. The inequivalent atoms are Th at (0.000, 0.000, 0.000), Pa at (0.250, 0.250, 0.250) and Ge at (0.124, 0.124, 0.624).

As for the crystal system: cubic. The value obtained for the energy relative to the elements is -0.213 eV/atom.